# 1
A geometry-optimized CuHgF5 structure. Source: the Alexandria database, functional PBE.

Structure (CIF):
```
data_CuHgF5
_cell_length_a 8.946
_cell_length_b 6.536
_cell_length_c 7.729
_cell_angle_alpha 90.00
_cell_angle_beta 115.19
_cell_angle_gamma 90.00
_space_group_name_H-M_alt 'C 1 2/c 1'
_space_group_IT_number 15
_space_group_name_Hall '-C 2yc'
loop_
_atom_site_label
_atom_site_type_symbol
_atom_site_fract_x
_atom_site_fract_y
_atom_site_fract_z
Cu1 Cu 0.000 0.000 0.000
Hg1 Hg 0.000 0.455 0.250
F1 F 0.000 0.055 0.250
F2 F 0.022 0.292 0.982
F3 F 0.232 0.034 0.619
```

Values from the calculation:
ΔE_f (raw) (meV/atom): -1380
DFT total energy (eV/atom): -3.34
Crystal system: monoclinic
D(E_F) (states/eV/cell): 8.071

# 2
A geometry-optimized Ti2SnSe structure. Source: the Alexandria database, functional PBE.

Structure (CIF):
```
data_Ti2SnSe
_cell_length_a 3.7033
_cell_length_b 3.7033
_cell_length_c 19.7818
_cell_angle_alpha 90.00
_cell_angle_beta 90.00
_cell_angle_gamma 120.00
_space_group_name_H-M_alt 'R -3 m'
_space_group_IT_number 166
_space_group_name_Hall '-R 3 2"'
loop_
_atom_site_label
_atom_site_type_symbol
_atom_site_fract_x
_atom_site_fract_y
_atom_site_fract_z
Ti1 Ti 0.0000 0.0000 0.2355
Sn1 Sn 0.0000 0.0000 0.0000
Se1 Se 0.0000 0.0000 0.5000
```

Values from the calculation:
ΔE_f (raw) (meV/atom): -525
DFT total energy (eV/atom): -6.34
Crystal system: trigonal
D(E_F) (states/eV/cell): 11.330

# 3
A geometry-optimized CdHgSe2 structure. Source: the Alexandria database, functional PBE.

Structure (CIF):
```
data_CdHgSe2
_cell_length_a 4.028
_cell_length_b 25.240
_cell_length_c 4.303
_cell_angle_alpha 90.00
_cell_angle_beta 90.00
_cell_angle_gamma 90.00
_space_group_name_H-M_alt 'C m c m'
_space_group_IT_number 63
_space_group_name_Hall '-C 2c 2'
loop_
_atom_site_label
_atom_site_type_symbol
_atom_site_fract_x
_atom_site_fract_y
_atom_site_fract_z
Cd1 Cd 0.000 0.192 0.250
Hg1 Hg 0.000 0.461 0.250
Se1 Se 0.000 0.302 0.250
Se2 Se 0.000 0.402 0.750
```

Values from the calculation:
ΔE_f (raw) (meV/atom): -107
DFT total energy (eV/atom): -2.15
Crystal system: orthorhombic
D(E_F) (states/eV/cell): 5.975

# 4
A geometry-optimized BeCd2W structure. Source: the Alexandria database, functional PBE.

Structure (CIF):
```
data_BeCd2W
_cell_length_a 6.465
_cell_length_b 6.465
_cell_length_c 6.465
_cell_angle_alpha 90.00
_cell_angle_beta 90.00
_cell_angle_gamma 90.00
_space_group_name_H-M_alt 'F -4 3 m'
_space_group_IT_number 216
_space_group_name_Hall 'F -4 2 3'
loop_
_atom_site_label
_atom_site_type_symbol
_atom_site_fract_x
_atom_site_fract_y
_atom_site_fract_z
Be1 Be 0.000 0.000 0.000
Cd1 Cd 0.000 0.000 0.500
Cd2 Cd 0.250 0.250 0.750
W1 W 0.250 0.250 0.250
```

Values from the calculation:
DFT total energy (eV/atom): -3.73
Crystal system: cubic
D(E_F) (states/eV/cell): 6.012
ΔH_f (0 K) (eV/atom): 0.899

# 5
A geometry-optimized NaPb2Se2 structure. Source: the Alexandria database, functional PBE.

Structure (CIF):
```
data_NaPb2Se2
_cell_length_a 4.537
_cell_length_b 4.537
_cell_length_c 14.797
_cell_angle_alpha 90.00
_cell_angle_beta 90.00
_cell_angle_gamma 90.00
_space_group_name_H-M_alt 'I 4/m m m'
_space_group_IT_number 139
_space_group_name_Hall '-I 4 2'
loop_
_atom_site_label
_atom_site_type_symbol
_atom_site_fract_x
_atom_site_fract_y
_atom_site_fract_z
Na1 Na 0.000 0.000 0.000
Pb1 Pb 0.000 0.500 0.250
Se1 Se 0.000 0.000 0.409
```

Values from the calculation:
ΔE_f (raw) (meV/atom): -309
DFT total energy (eV/atom): -3.45
Crystal system: tetragonal
D(E_F) (states/eV/cell): 3.869

# 6
A geometry-optimized TaTl2V structure. Source: the Alexandria database, functional PBE.

Structure (CIF):
```
data_TaTl2V
_cell_length_a 6.834
_cell_length_b 6.834
_cell_length_c 6.834
_cell_angle_alpha 90.00
_cell_angle_beta 90.00
_cell_angle_gamma 90.00
_space_group_name_H-M_alt 'F m -3 m'
_space_group_IT_number 225
_space_group_name_Hall '-F 4 2 3'
loop_
_atom_site_label
_atom_site_type_symbol
_atom_site_fract_x
_atom_site_fract_y
_atom_site_fract_z
Ta1 Ta 0.000 0.000 0.000
Tl1 Tl 0.250 0.250 0.250
V1 V 0.000 0.000 0.500
```

Values from the calculation:
DFT total energy (eV/atom): -5.65
Crystal system: cubic
D(E_F) (states/eV/cell): 16.694
ΔH_f (0 K) (eV/atom): 0.778

# 7
A geometry-optimized PrPb2Se4 structure. Source: the Alexandria database, functional PBE.

Structure (CIF):
```
data_PrPb2Se4
_cell_length_a 4.240
_cell_length_b 14.242
_cell_length_c 13.768
_cell_angle_alpha 90.00
_cell_angle_beta 90.00
_cell_angle_gamma 90.00
_space_group_name_H-M_alt 'C m c m'
_space_group_IT_number 63
_space_group_name_Hall '-C 2c 2'
loop_
_atom_site_label
_atom_site_type_symbol
_atom_site_fract_x
_atom_site_fract_y
_atom_site_fract_z
Pr1 Pr 0.000 0.101 0.250
Pb1 Pb 0.000 0.365 0.061
Se1 Se 0.000 0.000 0.000
Se2 Se 0.000 0.285 0.639
Se3 Se 0.000 0.454 0.250
```

Values from the calculation:
ΔE_f (raw) (meV/atom): -897
DFT total energy (eV/atom): -4.63
Crystal system: orthorhombic
D(E_F) (states/eV/cell): 14.264

# 8
A geometry-optimized CsNdSnS4 structure. Source: the Alexandria database, functional PBE.

Structure (CIF):
```
data_CsNdSnS4
_cell_length_a 6.913
_cell_length_b 7.042
_cell_length_c 9.643
_cell_angle_alpha 90.00
_cell_angle_beta 107.86
_cell_angle_gamma 90.00
_space_group_name_H-M_alt 'P 1 21/m 1'
_space_group_IT_number 11
_space_group_name_Hall '-P 2yb'
loop_
_atom_site_label
_atom_site_type_symbol
_atom_site_fract_x
_atom_site_fract_y
_atom_site_fract_z
Cs1 Cs 0.235 0.250 0.440
Nd1 Nd 0.283 0.250 0.951
Sn1 Sn 0.263 0.750 0.162
S1 S 0.038 0.750 0.918
S2 S 0.057 0.750 0.319
S3 S 0.493 0.508 0.806
```

Values from the calculation:
ΔE_f (raw) (meV/atom): -1232
DFT total energy (eV/atom): -4.97
Crystal system: monoclinic
D(E_F) (states/eV/cell): 0.000

# 9
A geometry-optimized PrNiI2 structure. Source: the Alexandria database, functional PBE.

Structure (CIF):
```
data_PrNiI2
_cell_length_a 3.9637
_cell_length_b 3.9637
_cell_length_c 27.9292
_cell_angle_alpha 90.00
_cell_angle_beta 90.00
_cell_angle_gamma 120.00
_space_group_name_H-M_alt 'R -3 m'
_space_group_IT_number 166
_space_group_name_Hall '-R 3 2"'
loop_
_atom_site_label
_atom_site_type_symbol
_atom_site_fract_x
_atom_site_fract_y
_atom_site_fract_z
Pr1 Pr 0.0000 0.0000 0.0000
Ni1 Ni 0.0000 0.0000 0.5000
I1 I 0.0000 0.0000 0.1125
```

Values from the calculation:
ΔE_f (raw) (meV/atom): -96
DFT total energy (eV/atom): -3.51
Crystal system: trigonal
D(E_F) (states/eV/cell): 12.504

# 10
A geometry-optimized Sc3TcO structure. Source: the Alexandria database, functional PBE.

Structure (CIF):
```
data_Sc3TcO
_cell_length_a 6.098
_cell_length_b 13.803
_cell_length_c 5.551
_cell_angle_alpha 90.00
_cell_angle_beta 90.00
_cell_angle_gamma 90.00
_space_group_name_H-M_alt 'C m c m'
_space_group_IT_number 63
_space_group_name_Hall '-C 2c 2'
loop_
_atom_site_label
_atom_site_type_symbol
_atom_site_fract_x
_atom_site_fract_y
_atom_site_fract_z
Sc1 Sc 0.000 0.000 0.000
Sc2 Sc 0.241 0.314 0.250
Tc1 Tc 0.000 0.156 0.250
O1 O 0.000 0.403 0.250
```

Values from the calculation:
ΔE_f (raw) (meV/atom): -460
DFT total energy (eV/atom): -7.32
Crystal system: orthorhombic
D(E_F) (states/eV/cell): 0.795

# 11
A geometry-optimized CoB3W2 structure. Source: the Alexandria database, functional PBE.

Structure (CIF):
```
data_CoB3W2
_cell_length_a 5.401
_cell_length_b 3.171
_cell_length_c 13.906
_cell_angle_alpha 90.00
_cell_angle_beta 90.00
_cell_angle_gamma 90.00
_space_group_name_H-M_alt 'P n m a'
_space_group_IT_number 62
_space_group_name_Hall '-P 2ac 2n'
loop_
_atom_site_label
_atom_site_type_symbol
_atom_site_fract_x
_atom_site_fract_y
_atom_site_fract_z
Co1 Co 0.029 0.250 0.062
B1 B 0.017 0.250 0.304
B2 B 0.147 0.750 0.811
B3 B 0.244 0.750 0.036
W1 W 0.141 0.750 0.419
W2 W 0.195 0.750 0.202
```

Values from the calculation:
DFT total energy (eV/atom): -9.15
Crystal system: orthorhombic
D(E_F) (states/eV/cell): 3.608
ΔH_f (0 K) (eV/atom): -0.308

# 12
A geometry-optimized La2Co2Au structure. Source: the Alexandria database, functional PBE.

Structure (CIF):
```
data_La2Co2Au
_cell_length_a 3.495
_cell_length_b 3.495
_cell_length_c 17.962
_cell_angle_alpha 90.00
_cell_angle_beta 90.00
_cell_angle_gamma 90.00
_space_group_name_H-M_alt 'I 4/m m m'
_space_group_IT_number 139
_space_group_name_Hall '-I 4 2'
loop_
_atom_site_label
_atom_site_type_symbol
_atom_site_fract_x
_atom_site_fract_y
_atom_site_fract_z
La1 La 0.000 0.000 0.117
Co1 Co 0.000 0.500 0.250
Au1 Au 0.000 0.000 0.500
```

Values from the calculation:
DFT total energy (eV/atom): -5.62
Crystal system: tetragonal
D(E_F) (states/eV/cell): 13.523
ΔH_f (0 K) (eV/atom): -0.147